# Na2NiO3

A relaxed structure of Na2NiO3 (PBE+U, the Alexandria database).

Geometry as POSCAR:
```
Na2NiO3
1.0
2.620 -4.540 0.000
2.620 4.540 0.000
-1.809 0.000 5.326
Na Ni O
4 2 6
direct
0.000 0.000 0.000 Na
0.158 0.842 0.500 Na
0.500 0.500 0.500 Na
0.842 0.158 0.500 Na
0.333 0.667 0.000 Ni
0.667 0.333 0.000 Ni
0.067 0.445 0.198 O
0.308 0.308 0.801 O
0.445 0.067 0.198 O
0.555 0.933 0.802 O
0.692 0.692 0.199 O
0.933 0.555 0.802 O
```

Computed properties:
The value obtained for the final energy is -52.52 eV for the cell shown.